VASP calculation (PBE-GGA) on crystalline CsBiSb2Pt at its relaxed geometry. Values from VASP.

```
&SYSTEM
  ibrav = 0, nat = 5, ntyp = 4
/
ATOMIC_SPECIES
Cs 132.91 Cs.upf
Sb 121.76 Sb.upf
Bi 208.98 Bi.upf
Pt 195.08 Pt.upf
CELL_PARAMETERS angstrom
6.076 0.000 0.000
0.000 5.177 0.000
0.000 0.000 6.076
ATOMIC_POSITIONS crystal
Cs 0.500 0.500 0.500
Sb 0.000 0.000 0.500
Sb 0.500 0.000 0.000
Bi 0.000 0.000 0.000
Pt 0.000 0.500 0.000
```

Calculated density ... 6781 kg/m³
Electronic total energy ... -16.8 eV per cell
Formation energy (no corrections) ... 438 meV/atom